1.
## SmAs2PtO8 (PBE)

Data for an optimized crystal structure of SmAs2PtO8.

## Properties
Formation energy without anion corrections = -1.340 eV/atom
Magnetization = 0.0828 μB per atom

Cell lengths 5.4811, 5.4811, 6.8942 Å; angles 90.00, 90.00, 120.00 degrees
Space group P-3m1 (No. 164)
Unique sites:
Sm: 0.0000 0.0000 0.0000 x1
As: 0.3333 0.6667 0.2196 x2
Pt: 0.0000 0.0000 0.5000 x1
O: 0.1566 0.3133 0.2847 x6
O: 0.3333 0.6667 0.9742 x2

***

2.
## Lu2AsPb (PBE)

Data for an optimized crystal structure of Lu2AsPb.

## Properties
Total energy = -5.2571 eV/atom
Magnetization = 0.0000 μB per atom

Cell lengths 3.9622, 3.9622, 23.0020 Å; angles 90.00, 90.00, 120.00 degrees
Space group R-3m (No. 166, hexagonal axes)
Unique sites:
Lu: 0.0000 0.0000 0.2367 x6
As: 0.0000 0.0000 0.5000 x3
Pb: 0.0000 0.0000 0.0000 x3

***

3.
## CsNaLaC (PBE)

Data for an optimized crystal structure of CsNaLaC.

## Properties
Magnetization = 0.0003 μB per atom
Energy above the most stable polymorph in this dataset = 1 meV/atom

Cell lengths 4.018, 4.020, 10.238 Å; angles 88.81, 89.55, 60.09 degrees
Space group P1 (No. 1)
Unique sites:
Cs: 0.000 0.000 0.000 x1
Na: 0.674 0.630 0.625 x1
La: 0.338 0.315 0.316 x1
C: 0.671 0.654 0.230 x1

***

4.
## Rb5Zr2Te6 (PBE)

Data for an optimized crystal structure of Rb5Zr2Te6.

## Properties
Formation energy without anion corrections = -1.012 eV/atom
Magnetization = 0.0770 μB per atom

Cell lengths 14.659, 9.292, 19.214 Å; angles 90.00, 102.66, 90.00 degrees
Space group C2/c (No. 15)
Unique sites:
Rb: 0.000 0.147 0.250 x4
Rb: 0.052 0.240 0.999 x8
Rb: 0.162 0.383 0.732 x8
Zr: 0.228 0.364 0.431 x8
Te: 0.053 0.465 0.372 x8
Te: 0.138 0.037 0.639 x8
Te: 0.219 0.058 0.423 x8

***

5.
## LiHgSe2 (PBE)

Data for an optimized crystal structure of LiHgSe2.

## Properties
Formation energy without anion corrections = -0.406 eV/atom
Magnetization = 0.0000 μB per atom

Cell lengths 7.318, 4.365, 6.354 Å; angles 90.00, 108.92, 90.00 degrees
Space group C2/m (No. 12)
Unique sites:
Li: 0.000 0.000 0.000 x2
Hg: 0.000 0.500 0.500 x2
Se: 0.168 0.500 0.209 x4

***

6.
## BaRu3O9 (PBE)

Data for an optimized crystal structure of BaRu3O9.

## Properties
Formation energy without anion corrections = -1.156 eV/atom
Magnetization = 0.0000 μB per atom

Cell lengths 5.748, 7.598, 7.987 Å; angles 90.00, 93.97, 90.00 degrees
Space group P2_1/m (No. 11)
Unique sites:
Ba: 0.027 0.250 0.431 x2
Ru: 0.000 0.000 0.000 x2
Ru: 0.474 0.003 0.697 x4
O: 0.031 0.250 0.999 x2
O: 0.173 0.522 0.791 x4
O: 0.289 0.518 0.126 x4
O: 0.293 0.526 0.477 x4
O: 0.434 0.250 0.693 x2
O: 0.485 0.250 0.300 x2

***

7.
## EuTmSiPd (PBE)

Data for an optimized crystal structure of EuTmSiPd.

## Properties
Formation energy without anion corrections = -0.602 eV/atom
Magnetization = 1.7078 μB per atom

Cell lengths 7.097, 7.097, 7.097 Å; angles 90.00, 90.00, 90.00 degrees
Space group F-43m (No. 216)
Unique sites:
Eu: 0.000 0.000 0.000 x4
Tm: 0.000 0.000 0.500 x4
Si: 0.250 0.250 0.250 x4
Pd: 0.250 0.250 0.750 x4

***

8.
## Sm3YHo12 (PBE)

Data for an optimized crystal structure of Sm3YHo12.

## Properties
Total energy = -4.7015 eV/atom
Magnetization = 0.0000 μB per atom

Cell lengths 5.017, 5.017, 20.067 Å; angles 90.00, 90.00, 90.00 degrees
Space group P4/mmm (No. 123)
Unique sites:
Sm: 0.000 0.000 0.000 x1
Sm: 0.000 0.000 0.250 x2
Y: 0.000 0.000 0.500 x1
Ho: 0.000 0.500 0.125 x4
Ho: 0.000 0.500 0.375 x4
Ho: 0.500 0.500 0.000 x1
Ho: 0.500 0.500 0.251 x2
Ho: 0.500 0.500 0.500 x1

***

9.
## KBa (PBE)

Data for an optimized crystal structure of KBa.

## Properties
Total energy = -1.3666 eV/atom
Magnetization = 0.0001 μB per atom

Cell lengths 8.187, 7.481, 8.980 Å; angles 90.00, 90.00, 90.00 degrees
Space group Pnma (No. 62)
Unique sites:
K: 0.090 0.250 0.126 x4
Ba: 0.104 0.250 0.625 x4

***

10.
## Hf2Cu2Te (PBE)

Data for an optimized crystal structure of Hf2Cu2Te.

## Properties
Formation energy without anion corrections = -0.130 eV/atom
Magnetization = 0.0000 μB per atom
Energy above the most stable polymorph in this dataset = 0 meV/atom

Cell lengths 6.783, 6.783, 3.949 Å; angles 90.00, 90.00, 90.00 degrees
Space group P4/mbm (No. 127)
Unique sites:
Hf: 0.164 0.336 0.000 x4
Cu: 0.124 0.624 0.500 x4
Te: 0.000 0.000 0.500 x2

***

11.
## Na3Mn3CoS8 (PBE)

Data for an optimized crystal structure of Na3Mn3CoS8.

## Properties
Formation energy without anion corrections = -0.713 eV/atom
Magnetization = 0.4833 μB per atom

Cell lengths 6.8495, 6.8495, 19.9365 Å; angles 90.00, 90.00, 120.00 degrees
Space group R-3m (No. 166, hexagonal axes)
Unique sites:
Na: 0.0000 0.5000 0.0000 x9
Mn: 0.0000 0.5000 0.5000 x9
Co: 0.0000 0.0000 0.5000 x3
S: 0.0000 0.0000 0.2311 x6
S: 0.0063 0.5032 0.2287 x18

***

12.
## La2MgCd12Ag3 (PBE)

Data for an optimized crystal structure of La2MgCd12Ag3.

## Properties
Total energy = -1.7478 eV/atom
Magnetization = 0.0000 μB per atom

Cell lengths 10.3614, 10.3614, 14.1432 Å; angles 90.00, 90.00, 120.00 degrees
Space group R-3m (No. 166, hexagonal axes)
Unique sites:
La: 0.0000 0.0000 0.2441 x6
Mg: 0.0000 0.0000 0.5000 x3
Cd: 0.0131 0.5065 0.2033 x18
Cd: 0.0541 0.5271 0.5982 x18
Ag: 0.0000 0.5000 0.0000 x9

***

13.
## HoSc3Pd2 (PBE)

Data for an optimized crystal structure of HoSc3Pd2.

## Properties
Magnetization = 0.0000 μB per atom
Energy above the most stable polymorph in this dataset = 202 meV/atom

Cell lengths 6.555, 13.065, 6.774 Å; angles 90.00, 90.00, 90.00 degrees
Space group Ibam (No. 72)
Unique sites:
Ho: 0.000 0.000 0.000 x4
Sc: 0.000 0.237 0.250 x8
Sc: 0.000 0.500 0.250 x4
Pd: 0.204 0.357 0.000 x8

***

14.
## Na2RhCl2O2 (PBE)

Data for an optimized crystal structure of Na2RhCl2O2.

## Properties
Formation energy without anion corrections = -1.117 eV/atom
Magnetization = 0.2309 μB per atom

Cell lengths 3.988, 3.988, 15.320 Å; angles 90.00, 90.00, 90.00 degrees
Space group I4/mmm (No. 139)
Unique sites:
Na: 0.000 0.000 0.107 x4
Rh: 0.000 0.000 0.500 x2
Cl: 0.000 0.000 0.342 x4
O: 0.000 0.500 0.000 x4

***

15.
## CsKRb2F (PBE)

Data for an optimized crystal structure of CsKRb2F.

## Properties
Formation energy without anion corrections = -0.941 eV/atom
Magnetization = 0.0000 μB per atom
Energy above the most stable polymorph in this dataset = 0 meV/atom

Cell lengths 6.850, 6.850, 6.015 Å; angles 90.00, 90.00, 90.00 degrees
Space group P4/mmm (No. 123)
Unique sites:
Cs: 0.000 0.000 0.000 x1
K: 0.500 0.500 0.000 x1
Rb: 0.000 0.500 0.500 x2
F: 0.000 0.000 0.500 x1

***

16.
## CaTmCuPd (PBE)

Data for an optimized crystal structure of CaTmCuPd.

## Properties
Total energy = -4.4087 eV/atom
Magnetization = 0.0000 μB per atom

Cell lengths 6.965, 6.965, 6.965 Å; angles 90.00, 90.00, 90.00 degrees
Space group F-43m (No. 216)
Unique sites:
Ca: 0.000 0.000 0.000 x4
Tm: 0.000 0.000 0.500 x4
Cu: 0.250 0.250 0.750 x4
Pd: 0.250 0.250 0.250 x4

***

17.
## TaSiOs2 (PBE)

Data for an optimized crystal structure of TaSiOs2.

## Properties
Formation energy without anion corrections = 0.359 eV/atom
Magnetization = 0.0000 μB per atom

Cell lengths 6.933, 6.933, 5.375 Å; angles 90.00, 90.00, 90.00 degrees
Space group I-42d (No. 122)
Unique sites:
Ta: 0.000 0.000 0.000 x4
Si: 0.000 0.000 0.500 x4
Os: 0.191 0.250 0.625 x8

***

18.
## Ba2BeNi (PBE)

Data for an optimized crystal structure of Ba2BeNi.

## Properties
Magnetization = 0.0000 μB per atom
Energy above the most stable polymorph in this dataset = 63 meV/atom

Cell lengths 4.129, 4.411, 15.659 Å; angles 90.00, 90.00, 90.00 degrees
Space group Imm2 (No. 44)
Unique sites:
Ba: 0.000 0.000 0.000 x2
Ba: 0.000 0.500 0.259 x2
Be: 0.000 0.500 0.854 x2
Ni: 0.000 0.000 0.398 x2

***

19.
## Hg2PtRh (PBE)

Data for an optimized crystal structure of Hg2PtRh.

## Properties
Total energy = -3.3292 eV/atom
Magnetization = 0.0001 μB per atom

Cell lengths 3.0419, 3.0419, 26.9311 Å; angles 90.00, 90.00, 120.00 degrees
Space group R-3m (No. 166, hexagonal axes)
Unique sites:
Hg: 0.0000 0.0000 0.2483 x6
Pt: 0.0000 0.0000 0.0000 x3
Rh: 0.0000 0.0000 0.5000 x3

***

20.
## Dy4CdRu2Au (PBE)

Data for an optimized crystal structure of Dy4CdRu2Au.

## Properties
Total energy = -5.5876 eV/atom
Magnetization = 0.0000 μB per atom

Cell lengths 4.9916, 4.9916, 24.4086 Å; angles 90.00, 90.00, 120.00 degrees
Space group R-3m (No. 166, hexagonal axes)
Unique sites:
Dy: 0.0000 0.0000 0.1228 x6
Dy: 0.0000 0.0000 0.3728 x6
Cd: 0.0000 0.0000 0.5000 x3
Ru: 0.0000 0.0000 0.2483 x6
Au: 0.0000 0.0000 0.0000 x3

***

21.
## HfGa2N (PBE)

Data for an optimized crystal structure of HfGa2N.

## Properties
Formation energy without anion corrections = 0.964 eV/atom
Magnetization = 0.0000 μB per atom
Energy above the most stable polymorph in this dataset = 949 meV/atom

Cell lengths 6.375, 6.375, 6.375 Å; angles 90.00, 90.00, 90.00 degrees
Space group Fm-3m (No. 225)
Unique sites:
Hf: 0.000 0.000 0.000 x4
Ga: 0.250 0.250 0.250 x8
N: 0.000 0.000 0.500 x4

***

22.
## Pr3MgAl (PBE)

Data for an optimized crystal structure of Pr3MgAl.

## Properties
Magnetization = 0.0007 μB per atom
Energy above the most stable polymorph in this dataset = 0 meV/atom

Cell lengths 5.403, 20.407, 5.402 Å; angles 90.00, 90.00, 90.00 degrees
Space group Cmcm (No. 63)
Unique sites:
Pr: 0.000 0.063 0.250 x4
Pr: 0.000 0.249 0.250 x4
Pr: 0.000 0.435 0.250 x4
Mg: 0.000 0.343 0.750 x4
Al: 0.000 0.158 0.750 x4

***

23.
## Sb2AuCl8 (PBE)

Data for an optimized crystal structure of Sb2AuCl8.

## Properties
Formation energy without anion corrections = -0.605 eV/atom
Magnetization = 0.0917 μB per atom

Cell lengths 15.608, 8.581, 9.114 Å; angles 90.00, 124.37, 90.00 degrees
Space group C2/m (No. 12)
Unique sites:
Sb: 0.166 0.000 0.223 x4
Au: 0.000 0.000 0.500 x2
Cl: 0.136 0.208 0.027 x8
Cl: 0.151 0.500 0.603 x4
Cl: 0.162 0.000 0.564 x4